## AcMgAg4 (GGA-PBE)

Data for crystalline AcMgAg4 at its relaxed geometry.

Computed properties:
E = -2.9852 eV per atom
Offset from the most stable computed form = 62.8 meV/atom
DFT formation energy = -0.134 eV per atom
Size of the total moment = 0.000 μB/atom

Cell lengths 9.044, 17.634, 3.553 Å; angles 90.00, 90.00, 90.00 degrees
Positions (direct):
Ac (0.123, 0.152, 0.000)
Ac (0.377, 0.652, 0.000)
Ac (0.623, 0.348, 0.000)
Ac (0.877, 0.848, 0.000)
Mg (0.127, 0.414, 0.000)
Mg (0.373, 0.914, 0.000)
Mg (0.627, 0.086, 0.000)
Mg (0.873, 0.586, 0.000)
Ag (0.025, 0.694, 0.500)
Ag (0.124, 0.548, 0.500)
Ag (0.126, 0.960, 0.500)
Ag (0.219, 0.810, 0.500)
Ag (0.281, 0.310, 0.500)
Ag (0.374, 0.460, 0.500)
Ag (0.376, 0.048, 0.500)
Ag (0.475, 0.194, 0.500)
Ag (0.525, 0.806, 0.500)
Ag (0.624, 0.952, 0.500)
Ag (0.626, 0.540, 0.500)
Ag (0.719, 0.690, 0.500)
Ag (0.781, 0.190, 0.500)
Ag (0.874, 0.040, 0.500)
Ag (0.876, 0.452, 0.500)
Ag (0.975, 0.306, 0.500)